# 1
Er6CS3: optimized geometry, PBE-GGA.

## Properties
formation energy without anion corrections	-11.71	eV/f.u.
DOS(E_F)	6.5	states/eV/f.u.
energy	-121.39	eV per cell
symmetry	P2_1/c

a = 6.296 Å, b = 7.110 Å, c = 11.048 Å
α = 90.00°, β = 119.37°, γ = 90.00°
Fractional coordinates of all 20 atoms:
Er1 0.098 0.204 0.437
Er2 0.098 0.296 0.937
Er3 0.245 0.670 0.419
Er4 0.245 0.830 0.919
Er5 0.388 0.023 0.227
Er6 0.388 0.477 0.727
Er7 0.612 0.523 0.273
Er8 0.612 0.977 0.773
Er9 0.755 0.170 0.081
Er10 0.755 0.330 0.581
Er11 0.902 0.704 0.063
Er12 0.902 0.796 0.563
C1 0.000 0.000 0.000
C2 0.000 0.500 0.500
S1 0.162 0.124 0.712
S2 0.162 0.376 0.212
S3 0.500 0.000 0.500
S4 0.500 0.500 0.000
S5 0.838 0.624 0.788
S6 0.838 0.876 0.288



# 2
Er6C2S3: optimized geometry, PBE-GGA.

## Properties
formation energy without anion corrections	-13.87	eV/f.u.
DOS(E_F)	5.3	states/eV/f.u.
energy	-72.07	eV per cell
symmetry	R-3m

a = 19.171 Å, b = 19.171 Å, c = 19.171 Å
α = 11.03°, β = 11.03°, γ = 11.03°
Fractional coordinates of all 11 atoms:
Er1 0.090 0.090 0.090
Er2 0.198 0.198 0.198
Er3 0.363 0.363 0.363
Er4 0.637 0.637 0.637
Er5 0.802 0.802 0.802
Er6 0.910 0.910 0.910
C1 0.447 0.447 0.447
C2 0.553 0.553 0.553
S1 0.000 0.000 0.000
S2 0.275 0.275 0.275
S3 0.725 0.725 0.725



# 3
Er6CS5: optimized geometry, PBE-GGA.

## Properties
formation energy without anion corrections	-21.40	eV/f.u.
DOS(E_F)	4.4	states/eV/f.u.
energy	-78.64	eV per cell
symmetry	C2/m

a = 6.622 Å, b = 6.622 Å, c = 6.638 Å
α = 99.54°, β = 99.54°, γ = 119.90°
Fractional coordinates of all 12 atoms:
Er1 0.076 0.382 0.729
Er2 0.228 0.228 0.269
Er3 0.382 0.076 0.729
Er4 0.618 0.924 0.271
Er5 0.772 0.772 0.731
Er6 0.924 0.618 0.271
C1 0.000 0.000 0.500
S1 0.172 0.828 0.000
S2 0.334 0.666 0.500
S3 0.500 0.500 0.000
S4 0.666 0.334 0.500
S5 0.828 0.172 0.000



# 4
ErCS: optimized geometry, PBE-GGA.

## Properties
excess energy over the best structure of this formula in the dataset	0.0	meV per atom
formation energy without anion corrections	-2.87	eV/f.u.
energy	-41.57	eV per cell
symmetry	C2/m

a = 4.123 Å, b = 4.123 Å, c = 6.973 Å
α = 91.24°, β = 91.24°, γ = 70.81°
Fractional coordinates of all 6 atoms:
Er1 0.162 0.162 0.263
Er2 0.838 0.838 0.737
C1 0.367 0.633 0.500
C2 0.633 0.367 0.500
S1 0.209 0.209 0.861
S2 0.791 0.791 0.139



# 5
Er5CS5: optimized geometry, PBE-GGA.

## Properties
formation energy without anion corrections	-19.80	eV/f.u.
DOS(E_F)	2.4	states/eV/f.u.
energy	-72.48	eV per cell
symmetry	C2/m

a = 6.653 Å, b = 6.653 Å, c = 7.586 Å
α = 106.92°, β = 106.92°, γ = 47.79°
Fractional coordinates of all 11 atoms:
Er1 0.000 0.000 0.000
Er2 0.346 0.346 0.687
Er3 0.351 0.351 0.160
Er4 0.649 0.649 0.840
Er5 0.654 0.654 0.313
C1 0.500 0.500 0.000
S1 0.168 0.168 0.835
S2 0.176 0.176 0.331
S3 0.500 0.500 0.500
S4 0.824 0.824 0.669
S5 0.832 0.832 0.165



# 6
Er8CS6: optimized geometry, PBE-GGA.

## Properties
formation energy without anion corrections	-17.22	eV/f.u.
DOS(E_F)	8.2	states/eV/f.u.
energy	-87.71	eV per cell
symmetry	P-3

a = 9.679 Å, b = 9.679 Å, c = 3.938 Å
α = 90.00°, β = 90.00°, γ = 120.00°
Fractional coordinates of all 15 atoms:
Er1 0.024 0.729 0.263
Er2 0.271 0.295 0.263
Er3 0.295 0.024 0.737
Er4 0.333 0.667 0.745
Er5 0.667 0.333 0.255
Er6 0.705 0.976 0.263
Er7 0.729 0.705 0.737
Er8 0.976 0.271 0.737
C1 0.000 0.000 0.500
S1 0.130 0.476 0.245
S2 0.346 0.870 0.245
S3 0.476 0.346 0.755
S4 0.524 0.654 0.245
S5 0.654 0.130 0.755
S6 0.870 0.524 0.755



# 7
Er8CS3: optimized geometry, PBE-GGA.

## Properties
formation energy without anion corrections	-12.66	eV/f.u.
DOS(E_F)	5.6	states/eV/f.u.
energy	-70.77	eV per cell
symmetry	R-3m

a = 7.403 Å, b = 7.403 Å, c = 7.403 Å
α = 60.62°, β = 60.62°, γ = 60.62°
Fractional coordinates of all 12 atoms:
Er1 0.220 0.766 0.766
Er2 0.234 0.234 0.780
Er3 0.234 0.780 0.234
Er4 0.247 0.247 0.247
Er5 0.753 0.753 0.753
Er6 0.766 0.220 0.766
Er7 0.766 0.766 0.220
Er8 0.780 0.234 0.234
C1 0.000 0.000 0.000
S1 0.000 0.500 0.500
S2 0.500 0.000 0.500
S3 0.500 0.500 0.000



# 8
Er5C2S2: optimized geometry, PBE-GGA.

## Properties
formation energy without anion corrections	-7.36	eV/f.u.
DOS(E_F)	4.5	states/eV/f.u.
energy	-113.76	eV per cell
symmetry	Cmce

a = 7.586 Å, b = 7.586 Å, c = 7.037 Å
α = 90.00°, β = 90.00°, γ = 54.81°
Fractional coordinates of all 18 atoms:
Er1 0.000 0.000 0.000
Er2 0.034 0.721 0.655
Er3 0.221 0.534 0.155
Er4 0.279 0.966 0.655
Er5 0.466 0.779 0.155
Er6 0.500 0.500 0.500
Er7 0.534 0.221 0.845
Er8 0.721 0.034 0.345
Er9 0.779 0.466 0.845
Er10 0.966 0.279 0.345
C1 0.167 0.833 0.340
C2 0.333 0.667 0.840
C3 0.667 0.333 0.160
C4 0.833 0.167 0.660
S1 0.200 0.200 0.000
S2 0.300 0.300 0.500
S3 0.700 0.700 0.500
S4 0.800 0.800 0.000



# 9
Er4CS2: optimized geometry, PBE-GGA.

## Properties
formation energy without anion corrections	-9.10	eV/f.u.
DOS(E_F)	4.8	states/eV/f.u.
energy	-44.83	eV per cell
symmetry	Cmmm

a = 6.587 Å, b = 6.587 Å, c = 3.738 Å
α = 90.00°, β = 90.00°, γ = 108.92°
Fractional coordinates of all 7 atoms:
Er1 0.219 0.219 0.500
Er2 0.229 0.771 0.000
Er3 0.771 0.229 0.000
Er4 0.781 0.781 0.500
C1 0.000 0.000 0.000
S1 0.000 0.500 0.500
S2 0.500 0.000 0.500



# 10
Er2Sc2C2S: optimized geometry, PBE-GGA.

## Properties
formation energy without anion corrections	-4.67	eV/f.u.
DOS(E_F)	2.9	states/eV/f.u.
energy	-49.03	eV per cell
symmetry	C2/m

a = 6.343 Å, b = 6.343 Å, c = 7.232 Å
α = 118.45°, β = 118.45°, γ = 30.64°
Fractional coordinates of all 7 atoms:
Er1 0.019 0.019 0.221
Er2 0.981 0.981 0.779
Sc1 0.268 0.268 0.188
Sc2 0.732 0.732 0.812
C1 0.367 0.367 0.974
C2 0.633 0.633 0.026
S1 0.500 0.500 0.500



# 11
ErScCS: optimized geometry, PBE-GGA.

## Properties
formation energy without anion corrections	-5.20	eV/f.u.
DOS(E_F)	0.3	states/eV/f.u.
energy	-29.44	eV per cell
symmetry	R3m

a = 6.445 Å, b = 6.445 Å, c = 6.445 Å
α = 32.17°, β = 32.17°, γ = 32.17°
Fractional coordinates of all 4 atoms:
Er1 0.000 0.000 0.000
Sc1 0.527 0.527 0.527
C1 0.261 0.261 0.261
S1 0.768 0.768 0.768



# 12
Er8CSe4S3: optimized geometry, PBE-GGA.

## Properties
formation energy without anion corrections	-27.36	eV/f.u.
DOS(E_F)	6.3	states/eV/f.u.
energy	-99.41	eV per cell
symmetry	R-3m

a = 7.932 Å, b = 7.932 Å, c = 7.932 Å
α = 58.72°, β = 58.72°, γ = 58.72°
Fractional coordinates of all 16 atoms:
Er1 0.242 0.242 0.242
Er2 0.264 0.725 0.725
Er3 0.275 0.275 0.736
Er4 0.275 0.736 0.275
Er5 0.725 0.264 0.725
Er6 0.725 0.725 0.264
Er7 0.736 0.275 0.275
Er8 0.758 0.758 0.758
C1 0.500 0.500 0.500
Se1 0.000 0.000 0.000
Se2 0.000 0.500 0.500
Se3 0.500 0.000 0.500
Se4 0.500 0.500 0.000
S1 0.000 0.000 0.500
S2 0.000 0.500 0.000
S3 0.500 0.000 0.000